A plane-wave DFT calculation with PBE was carried out for an optimized crystal structure of Na4I3Cl.

POSCAR file:
```
Na4I3Cl
1.0
-0.902 -0.343 -4.403
-2.253 -3.830 0.760
-10.669 6.606 1.672
Cl I Na
1 3 4
Direct
0.000 0.000 0.000 Cl
0.500 0.500 0.243 I
0.500 0.500 0.757 I
0.000 0.000 0.500 I
0.500 0.500 0.000 Na
0.000 0.000 0.774 Na
0.500 0.500 0.500 Na
0.000 0.000 0.226 Na
```

Values from the calculation:
- Space group: P4/mmm
- Magnetization: 0.000 μB/atom
- Energy relative to the lowest polymorph listed for this composition: 0 meV/atom
- Formation energy from raw total energies: -1366 meV per atom
- Calculated volume: 32.16 Å³ per atom
- Crystal system: tetragonal